1.
The following is a PBE calculation of an optimized crystal structure of Dy2HoMgRh4, from Alexandria via LeMat-Bulk.

```
Dy2HoMgRh4
1.0
2.368 1.367 7.747
-2.368 1.367 7.747
0.000 -2.735 7.747
Dy Ho Mg Rh
2 1 1 4
Cartesian
0.000 0.000 5.691
0.000 0.000 17.550
0.000 0.000 0.000
0.000 0.000 11.621
0.000 0.000 2.894
0.000 0.000 8.738
0.000 0.000 14.504
0.000 0.000 20.348
```

Calculated values
Its formation enthalpy at 0 K is -819 meV/atom.

---

2.
The following is a PBE calculation of an optimized crystal structure of Ga2SbPd, from Alexandria via LeMat-Bulk.

```
Ga2SbPd
1.0
4.488 0.000 0.000
0.000 4.488 0.000
0.000 0.000 16.964
Ga Sb Pd
8 4 4
Cartesian
0.747 1.122 2.121
1.122 2.991 6.362
1.122 3.741 14.844
1.497 1.122 10.603
2.991 3.366 10.603
3.366 0.747 14.844
3.366 1.497 6.362
3.741 3.366 2.121
0.000 0.000 8.482
0.000 2.244 12.723
2.244 0.000 4.241
2.244 2.244 0.000
0.000 0.000 0.000
0.000 2.244 4.241
2.244 0.000 12.723
2.244 2.244 8.482
```

Calculated values
The calculation puts the raw formation energy at -0.167 eV/atom.

---

3.
The following is a PBE calculation of an optimized crystal structure of CeNdSi, from Alexandria via LeMat-Bulk.

```
CeNdSi
1.0
4.660 0.000 0.000
-2.330 4.036 0.000
0.000 0.000 4.118
Ce Nd Si
1 1 1
Cartesian
0.000 0.000 0.000
2.330 1.345 2.418
0.000 2.691 1.192
```

Calculated values
The calculation puts the excess energy over the best structure of this formula in the dataset at 292 meV/atom. The calculation puts the raw formation energy at -0.231 eV/atom.

---

4.
The following is a PBE calculation of an optimized crystal structure of CePr10Dy6, from Alexandria via LeMat-Bulk.

```
CePr10Dy6
1.0
9.911 0.000 0.000
-4.955 8.583 0.000
0.000 0.000 6.974
Ce Pr Dy
1 10 6
Cartesian
0.000 0.000 0.000
-1.357 2.350 2.202
-3.598 6.233 4.771
2.714 0.000 2.202
1.357 2.350 4.771
0.000 5.722 0.000
0.000 5.722 3.487
4.955 2.861 0.000
4.955 2.861 3.487
7.197 0.000 4.771
3.598 6.233 2.202
-1.832 3.173 5.650
-3.124 5.410 1.323
3.663 0.000 5.650
1.832 3.173 1.323
6.247 0.000 1.323
3.124 5.410 5.650
```

Calculated values
Its formation enthalpy at 0 K is 150 meV/atom.

---

5.
The following is a PBE calculation of an optimized crystal structure of Hf2Ag2O, from Alexandria via LeMat-Bulk.

```
Hf2Ag2O
1.0
5.903 0.000 0.000
0.000 5.903 0.000
0.000 0.000 5.110
Hf Ag O
4 4 2
Cartesian
1.024 1.927 0.000
1.927 4.879 0.000
3.976 1.024 0.000
4.879 3.976 0.000
0.939 3.891 2.555
2.012 0.939 2.555
3.891 4.964 2.555
4.964 2.012 2.555
0.000 0.000 0.000
2.952 2.952 0.000
```

Calculated values
The calculation puts the raw formation energy at -0.887 eV/atom.

---

6.
The following is a PBE calculation of an optimized crystal structure of KTaTc2, from Alexandria via LeMat-Bulk.

```
KTaTc2
1.0
9.266 0.000 0.000
0.000 3.073 0.000
-0.765 0.000 7.125
K Ta Tc
2 2 4
Cartesian
0.000 0.000 0.000
4.633 1.537 0.000
2.327 1.537 2.755
6.960 0.000 2.755
-0.350 1.537 3.763
1.641 0.000 4.508
4.283 0.000 3.763
6.274 1.537 4.508
```

Calculated values
Its formation enthalpy at 0 K is 846 meV/atom. The calculation puts the excess energy over the best structure of this formula in the dataset at 288 meV/atom.

---

7.
The following is a PBE calculation of an optimized crystal structure of Er2IrPd, from Alexandria via LeMat-Bulk.

```
Er2IrPd
1.0
4.064 0.000 0.000
-2.032 3.520 0.000
0.000 0.000 19.211
Er Ir Pd
6 3 3
Cartesian
0.000 0.000 4.691
0.000 0.000 14.519
0.000 2.346 8.116
0.000 2.346 17.499
2.032 1.173 1.712
2.032 1.173 11.095
0.000 0.000 9.605
0.000 2.346 3.202
2.032 1.173 16.009
0.000 0.000 0.000
0.000 2.346 12.807
2.032 1.173 6.404
```

Calculated values
Its formation enthalpy at 0 K is -687 meV/atom. The calculation puts the excess energy over the best structure of this formula in the dataset at 269 meV/atom.

---

8.
The following is a PBE calculation of an optimized crystal structure of YTh4Sb5, from Alexandria via LeMat-Bulk.

```
YTh4Sb5
1.0
-2.246 2.246 15.839
2.246 -2.246 15.839
2.246 2.246 -15.839
Y Th Sb
1 4 5
Cartesian
0.000 0.000 0.000
0.000 0.000 6.314
0.000 0.000 12.679
0.000 0.000 18.999
0.000 0.000 25.364
0.000 0.000 3.102
0.000 0.000 9.499
0.000 0.000 15.839
0.000 0.000 22.180
0.000 0.000 28.577
```

Calculated values
The calculation puts the raw formation energy at -0.957 eV/atom.

---

9.
The following is a PBE calculation of an optimized crystal structure of LaPuIr2, from Alexandria via LeMat-Bulk.

```
LaPuIr2
1.0
7.024 0.000 0.000
0.000 7.024 0.000
0.000 0.000 7.024
La Pu Ir
4 4 8
Cartesian
0.000 0.000 0.000
0.000 3.512 3.512
3.512 0.000 3.512
3.512 3.512 0.000
0.000 0.000 3.512
0.000 3.512 0.000
3.512 0.000 0.000
3.512 3.512 3.512
1.756 1.756 1.756
1.756 1.756 5.268
1.756 5.268 1.756
1.756 5.268 5.268
5.268 1.756 1.756
5.268 1.756 5.268
5.268 5.268 1.756
5.268 5.268 5.268
```

Calculated values
Its formation enthalpy at 0 K is -447 meV/atom.

---

10.
The following is a PBE calculation of an optimized crystal structure of Sm2Al4NiPt3, from Alexandria via LeMat-Bulk.

```
Sm2Al4NiPt3
1.0
4.228 0.000 0.000
0.000 4.228 0.000
0.000 0.000 10.405
Sm Al Ni Pt
2 4 1 3
Cartesian
0.000 2.114 2.550
2.114 0.000 7.855
0.000 0.000 5.203
0.000 2.114 9.133
2.114 0.000 1.272
2.114 2.114 5.203
2.114 2.114 0.000
0.000 0.000 0.000
0.000 2.114 6.621
2.114 0.000 3.784
```

Calculated values
Its formation enthalpy at 0 K is -1001 meV/atom.

---

11.
The following is a PBE calculation of an optimized crystal structure of Pr3BiSe3, from Alexandria via LeMat-Bulk.

```
Pr3BiSe3
1.0
4.310 2.488 7.435
-4.310 2.488 7.435
0.000 -4.976 7.435
Pr Bi Se
6 2 6
Cartesian
-3.291 -0.094 9.149
-1.564 -2.897 13.156
1.727 -2.803 9.149
-1.727 2.803 13.156
1.564 2.897 9.149
3.291 0.094 13.156
0.000 0.000 3.693
0.000 0.000 18.612
-1.091 -2.114 8.675
-2.376 -0.112 13.630
-1.285 2.001 8.675
1.285 -2.001 13.630
2.376 0.112 8.675
1.091 2.114 13.630
```

Calculated values
The calculation puts the raw formation energy at -1.514 eV/atom.

---

12.
The following is a PBE calculation of an optimized crystal structure of POsRh, from Alexandria via LeMat-Bulk.

```
POsRh
1.0
5.571 0.000 0.000
0.000 5.571 0.000
0.000 0.000 5.571
P Os Rh
4 4 4
Cartesian
0.000 0.000 0.000
0.000 2.786 2.786
2.786 0.000 2.786
2.786 2.786 0.000
1.393 1.393 4.178
1.393 4.178 1.393
4.178 1.393 1.393
4.178 4.178 4.178
1.393 1.393 1.393
1.393 4.178 4.178
4.178 1.393 4.178
4.178 4.178 1.393
```

Calculated values
Its formation enthalpy at 0 K is -270 meV/atom. The calculation puts the excess energy over the best structure of this formula in the dataset at 0 meV/atom.

---

| no. | magnetization (μB per cell) |
| --- | --- |
| 1 | 0.00 |
| 2 | 0.00 |
| 3 | 0.70 |
| 4 | 0.71 |
| 5 | 0.00 |
| 6 | 0.25 |
| 7 | 0.00 |
| 8 | 0.00 |
| 9 | 18.26 |
| 10 | 0.00 |
| 11 | 0.00 |
| 12 | 0.00 |